[1]
Material: DyP2Ir2
Method: DFT, GGA-PBE
State: relaxed

a b c (Å): 4.129 4.129 9.544
angles (deg): 90.00 90.00 90.00
Space group P4/nmm (No. 129, origin choice 2)
Unique sites:
Dy: 0.250 0.250 0.242 x2
P: 0.250 0.250 0.641 x2
P: 0.250 0.750 0.000 x2
Ir: 0.250 0.250 0.885 x2
Ir: 0.250 0.750 0.500 x2

magnetic moment = 0.00 μB/f.u.
E_form = -0.980 eV/atom

---

[2]
Material: Ca2Si2Au
Method: DFT, GGA-PBE
State: relaxed

a b c (Å): 10.664 4.422 10.686
angles (deg): 90.00 119.26 90.00
Space group C2/m (No. 12)
Unique sites:
Ca: 0.024 0.000 0.329 x4
Ca: 0.193 0.000 0.106 x4
Si: 0.012 0.500 0.893 x4
Si: 0.128 0.500 0.559 x4
Au: 0.238 0.500 0.339 x4

magnetic moment = 0.00 μB/f.u.
energy above the most stable polymorph in this dataset = 0.00 eV per formula unit
formation energy from raw total energies = -0.62 eV per atom

---

[3]
Material: Tc2Sb3
Method: DFT, GGA-PBE
State: relaxed

a b c (Å): 11.767 6.096 7.365
angles (deg): 90.00 123.13 90.00
Space group C2/c (No. 15)
Unique sites:
Tc: 0.069 0.243 0.494 x8
Sb: 0.000 0.389 0.750 x4
Sb: 0.184 0.081 0.276 x8

magnetic moment = 0.00 μB/f.u.
energy above the most stable polymorph in this dataset = 0.00 eV per formula unit
formation energy from raw total energies = 0.01 eV per atom

---

[4]
Material: Pr6NpO12
Method: DFT, GGA-PBE
State: relaxed

a b c (Å): 10.4100 10.4100 9.9268
angles (deg): 90.00 90.00 120.00
Space group R-3 (No. 148, hexagonal axes)
Unique sites:
Pr: 0.0431 0.7887 0.1435 x18
Np: 0.0000 0.0000 0.5000 x3
O: 0.0352 0.8107 0.9021 x18
O: 0.0395 0.8503 0.3916 x18

magnetic moment = 1.00 μB/f.u.
formation energy from raw total energies = -3.31 eV per atom

---

[5]
Material: KTl2In
Method: DFT, GGA-PBE
State: relaxed

a b c (Å): 7.952 7.952 7.952
angles (deg): 90.00 90.00 90.00
Space group F-43m (No. 216)
Unique sites:
K: 0.000 0.000 0.000 x4
Tl: 0.000 0.000 0.500 x4
Tl: 0.250 0.250 0.750 x4
In: 0.250 0.250 0.250 x4

magnetic moment = 0.00 μB/f.u.
E_form = -0.020 eV/atom

---

[6]
Material: V4MoPt12
Method: DFT, GGA-PBE
State: relaxed

a b c (Å): 8.236 8.236 8.236
angles (deg): 90.00 90.00 90.00
Space group Im-3m (No. 229)
Unique sites:
V: 0.250 0.250 0.250 x8
Mo: 0.000 0.000 0.000 x2
Pt: 0.000 0.000 0.294 x12
Pt: 0.000 0.250 0.500 x12

magnetic moment = 7.64 μB/f.u.
E_form = -0.073 eV/atom

---

[7]
Material: Hf5Sn2
Method: DFT, GGA-PBE
State: relaxed

a b c (Å): 14.363 5.278 8.219
angles (deg): 90.00 97.84 90.00
Space group C2/c (No. 15)
Unique sites:
Hf: 0.000 0.202 0.250 x4
Hf: 0.141 0.198 0.966 x8
Hf: 0.210 0.311 0.321 x8
Sn: 0.081 0.302 0.606 x8

magnetic moment = 0.00 μB/f.u.
energy above the most stable polymorph in this dataset = 0.38 eV per formula unit
E_form = -0.200 eV/atom

---

[8]
Material: CeScTl2
Method: DFT, GGA-PBE
State: relaxed

a b c (Å): 3.4604 3.4604 30.9795
angles (deg): 90.00 90.00 120.00
Space group R3m (No. 160, hexagonal axes)
Unique sites:
Ce: 0.0000 0.0000 0.0000 x3
Sc: 0.0000 0.0000 0.1677 x3
Tl: 0.0000 0.0000 0.5782 x3
Tl: 0.0000 0.0000 0.7563 x3

magnetic moment = 0.82 μB/f.u.
E_form = -0.146 eV/atom

---

[9]
Material: RbPuBi2O6
Method: DFT, GGA-PBE
State: relaxed

a b c (Å): 6.1018 6.1018 17.3354
angles (deg): 90.00 90.00 120.00
Space group R3 (No. 146, hexagonal axes)
Unique sites:
Rb: 0.0000 0.0000 0.0000 x3
Pu: 0.0000 0.0000 0.5407 x3
Bi: 0.0000 0.0000 0.2205 x3
Bi: 0.0000 0.0000 0.7497 x3
O: 0.0027 0.3802 0.1442 x9
O: 0.1113 0.7538 0.2831 x9

magnetic moment = 3.00 μB/f.u.
formation energy from raw total energies = -1.80 eV per atom

---

[10]
Material: Tb3ScC2
Method: DFT, GGA-PBE
State: relaxed

a b c (Å): 15.747 3.548 12.249
angles (deg): 90.00 129.23 90.00
Space group C2/m (No. 12)
Unique sites:
Tb: 0.136 0.000 0.453 x4
Tb: 0.138 0.000 0.949 x4
Tb: 0.138 0.500 0.201 x4
Sc: 0.154 0.500 0.713 x4
C: 0.246 0.000 0.868 x4
C: 0.248 0.500 0.625 x4

magnetic moment = 0.72 μB/f.u.
E_form = -0.286 eV/atom

---

[11]
Material: Zr3ScOs
Method: DFT, GGA-PBE
State: relaxed

a b c (Å): 5.078 5.078 5.078
angles (deg): 90.00 90.00 90.00
Space group Pm-3m (No. 221)
Unique sites:
Zr: 0.000 0.000 0.500 x3
Sc: 0.500 0.500 0.500 x1
Os: 0.000 0.000 0.000 x1

magnetic moment = 0.00 μB/f.u.
energy above the most stable polymorph in this dataset = 2.44 eV per formula unit
E_form = 0.292 eV/atom

---

[12]
Material: ZnCd5
Method: DFT, GGA-PBE
State: relaxed

a b c (Å): 5.133 3.155 15.765
angles (deg): 90.00 90.00 90.00
Space group Amm2 (No. 38)
Unique sites:
Zn: 0.000 0.000 0.000 x2
Cd: 0.000 0.000 0.338 x2
Cd: 0.000 0.000 0.660 x2
Cd: 0.500 0.000 0.225 x2
Cd: 0.500 0.000 0.556 x2
Cd: 0.500 0.000 0.895 x2

magnetic moment = 0.00 μB/f.u.
energy above the most stable polymorph in this dataset = 0.09 eV per formula unit
E_form = 0.041 eV/atom

---

[13]
Material: TeWCl2
Method: DFT, GGA-PBE
State: relaxed

a b c (Å): 3.144 4.749 5.493
angles (deg): 90.00 90.00 90.00
Space group Pmmm (No. 47)
Unique sites:
Te: 0.000 0.000 0.000 x1
W: 0.500 0.000 0.500 x1
Cl: 0.000 0.500 0.500 x1
Cl: 0.500 0.500 0.000 x1

magnetic moment = 2.60 μB/f.u.
energy above the most stable polymorph in this dataset = 4.21 eV per formula unit
formation energy from raw total energies = 0.77 eV per atom

---

[14]
Material: Be2Zn2Hg
Method: DFT, GGA-PBE
State: relaxed

a b c (Å): 7.502 7.502 2.602
angles (deg): 90.00 90.00 90.00
Space group P4/mbm (No. 127)
Unique sites:
Be: 0.176 0.324 0.000 x4
Zn: 0.123 0.623 0.500 x4
Hg: 0.000 0.000 0.500 x2

magnetic moment = 0.00 μB/f.u.
energy above the most stable polymorph in this dataset = 0.35 eV per formula unit
E_form = 0.381 eV/atom

---

[15]
Material: In3Ni
Method: DFT, GGA-PBE
State: relaxed

a b c (Å): 5.518 5.518 5.518
angles (deg): 90.00 90.00 90.00
Space group Pm-3n (No. 223)
Unique sites:
In: 0.000 0.250 0.500 x6
Ni: 0.000 0.000 0.000 x2

magnetic moment = 0.00 μB/f.u.
E_form = 0.202 eV/atom

---

[16]
Material: Nd4Dy5Sc3
Method: DFT, GGA-PBE
State: relaxed

a b c (Å): 16.007 5.787 9.240
angles (deg): 90.00 117.53 90.00
Space group C2/m (No. 12)
Unique sites:
Nd: 0.086 0.000 0.448 x4
Nd: 0.219 0.000 0.882 x4
Dy: 0.000 0.000 0.000 x2
Dy: 0.071 0.500 0.713 x4
Dy: 0.172 0.500 0.376 x4
Sc: 0.000 0.500 0.000 x2
Sc: 0.217 0.000 0.239 x4

magnetic moment = 0.62 μB/f.u.
E_form = 0.208 eV/atom

---

[17]
Material: ReMoPt2
Method: DFT, GGA-PBE
State: relaxed

a b c (Å): 2.750 2.750 8.177
angles (deg): 90.00 90.00 90.00
Space group P4mm (No. 99)
Unique sites:
Re: 0.000 0.000 0.000 x1
Mo: 0.500 0.500 0.261 x1
Pt: 0.000 0.000 0.498 x1
Pt: 0.500 0.500 0.768 x1

magnetic moment = 0.00 μB/f.u.
energy above the most stable polymorph in this dataset = 0.05 eV per formula unit
E_form = -0.142 eV/atom

---

[18]
Material: Y2RePb
Method: DFT, GGA-PBE
State: relaxed

a b c (Å): 3.861 4.656 5.894
angles (deg): 90.00 108.94 90.00
Space group Pm (No. 6)
Unique sites:
Y: 0.000 0.000 0.000 x1
Y: 0.293 0.500 0.590 x1
Re: 0.725 0.000 0.454 x1
Pb: 0.577 0.500 0.155 x1

magnetic moment = 0.00 μB/f.u.
E_form = 0.076 eV/atom

---

[19]
Material: Nd4Ho3In
Method: DFT, GGA-PBE
State: relaxed

a b c (Å): 10.106 7.036 7.121
angles (deg): 90.00 90.00 90.00
Space group Pmn2_1 (No. 31)
Unique sites:
Nd: 0.000 0.000 0.000 x2
Nd: 0.000 0.499 0.500 x2
Nd: 0.250 0.252 0.750 x4
Ho: 0.000 0.500 0.000 x2
Ho: 0.250 0.242 0.250 x4
In: 0.000 0.000 0.500 x2

magnetic moment = 0.00 μB/f.u.
energy above the most stable polymorph in this dataset = 0.10 eV per formula unit
E_form = -0.080 eV/atom

---

[20]
Material: GdZr2Al
Method: DFT, GGA-PBE
State: relaxed

a b c (Å): 3.122 3.122 9.442
angles (deg): 90.00 90.00 90.00
Space group P4/mmm (No. 123)
Unique sites:
Gd: 0.000 0.000 0.000 x1
Zr: 0.500 0.500 0.291 x2
Al: 0.000 0.000 0.500 x1

magnetic moment = 7.12 μB/f.u.
energy above the most stable polymorph in this dataset = 0.21 eV per formula unit
E_form = -0.126 eV/atom

---

[21]
Material: K2BaSnF
Method: DFT, GGA-PBE
State: relaxed

a b c (Å): 5.367 5.367 5.711
angles (deg): 90.00 90.00 90.00
Space group P4/mmm (No. 123)
Unique sites:
K: 0.000 0.500 0.000 x2
Ba: 0.000 0.000 0.500 x1
Sn: 0.500 0.500 0.500 x1
F: 0.000 0.000 0.000 x1

magnetic moment = 0.00 μB/f.u.
formation energy from raw total energies = -1.26 eV per atom

---

[22]
Material: Lu2MgGe2
Method: DFT, GGA-PBE
State: relaxed

a b c (Å): 7.145 7.145 4.163
angles (deg): 90.00 90.00 90.00
Space group P4/mbm (No. 127)
Unique sites:
Lu: 0.177 0.323 0.000 x4
Mg: 0.000 0.000 0.500 x2
Ge: 0.125 0.625 0.500 x4

magnetic moment = 0.00 μB/f.u.
E_form = -0.723 eV/atom